Material: In2CoPb
Method: DFT, PBE
State: optimized geometry

Calculated values
As for the formation energy: 24.2 kJ per mole of atoms. The calculation puts the total magnetization at 0.64 μB per formula unit.

Cell: 3.117 4.467 13.143 Å, 90.00 90.00 90.00°
Space group Immm (No. 71)
One atom of each set of equivalent atoms:
In: 0.000 0.000 0.183
Co: 0.000 0.500 0.500
Pb: 0.000 0.500 0.000


Material: InCo3Pb
Method: DFT, PBE
State: optimized geometry

Calculated values
As for the formation energy: 125.2 kJ per mole of atoms. The calculation puts the total magnetization at 4.42 μB per formula unit.

Cell: 4.755 4.755 4.755 Å, 90.00 90.00 90.00°
Space group Pm-3m (No. 221)
One atom of each set of equivalent atoms:
In: 0.000 0.000 0.000
Co: 0.000 0.000 0.500
Pb: 0.500 0.500 0.500


Material: In2CoPb2
Method: DFT, PBE
State: optimized geometry

Calculated values
As for the formation energy: 31.4 kJ per mole of atoms. The calculation puts the total magnetization at 0.89 μB per formula unit.

Cell: 6.867 6.867 5.463 Å, 90.00 90.00 90.00°
Space group P4/mbm (No. 127)
One atom of each set of equivalent atoms:
In: 0.163 0.337 0.000
Co: 0.000 0.000 0.000
Pb: 0.175 0.675 0.500


Material: In2CoPb
Method: DFT, PBE
State: optimized geometry

Calculated values
As for the formation energy: 14.3 kJ per mole of atoms. The calculation puts the total magnetization at 0.00 μB per formula unit.

Cell: 3.067 4.428 13.481 Å, 90.00 90.00 90.00°
Space group Imm2 (No. 44)
One atom of each set of equivalent atoms:
In: 0.000 0.000 0.000
In: 0.000 0.500 0.169
Co: 0.000 0.000 0.502
Pb: 0.000 0.500 0.820


Material: In2CoPb
Method: DFT, PBE
State: optimized geometry

Calculated values
As for the formation energy: 15.7 kJ per mole of atoms. The calculation puts the total magnetization at 0.10 μB per formula unit.

Cell: 9.459 3.134 6.828 Å, 90.00 111.07 90.00°
Space group Cm (No. 8)
One atom of each set of equivalent atoms:
In: 0.000 0.000 0.000
In: 0.178 0.000 0.671
Co: 0.227 0.500 0.003
Pb: 0.348 0.000 0.354


Material: In2CoPb
Method: DFT, PBE
State: optimized geometry

Calculated values
As for the formation energy: 44.4 kJ per mole of atoms. The calculation puts the total magnetization at 1.49 μB per formula unit.

Cell: 4.289 4.289 4.876 Å, 90.00 90.00 90.00°
Space group P4/mmm (No. 123)
One atom of each set of equivalent atoms:
In: 0.000 0.500 0.000
Co: 0.000 0.000 0.500
Pb: 0.500 0.500 0.500